## K3Ag (GGA-PBE)

Data for K3Ag after structural relaxation.

a b c (Å): 4.6925 11.7381 7.7126
angles (deg): 90.00 90.00 90.00
Closest atoms and distances in Å follow each position.
Space group Imm2 (No. 44)
One atom of each set of equivalent atoms:
K 0.0000 0.0000 0.0000 [2 per cell]  2 Ag 3.42
K 0.0000 0.1858 0.5124 [4 per cell]  2 Ag 3.52
Ag 0.0000 0.5000 0.8219 [2 per cell]  6 K 3.42-3.52

Magnetization (μB per cell): 0.0
Formation enthalpy at 0 K (meV/atom): 68
Excess energy over the best structure of this formula in the dataset (meV per atom): 40
Mass density (Mg/m³): 1.76